# PBE SnHgPdN2, optimized geometry
# V = 19.2 Å³/atom
# final energy = -3.98 eV per atom
data_SnHgPdN2
_chemical_formula_sum 'Sn1 Hg1 Pd1 N2'
_cell_length_a 4.074
_cell_length_b 4.074
_cell_length_c 5.774
_cell_angle_alpha 90.00
_cell_angle_beta 90.00
_cell_angle_gamma 90.00
_symmetry_space_group_name_H-M 'P 4/m m m'
_symmetry_Int_Tables_number 123
_symmetry_space_group_name_Hall '-P 4 2'
loop_
_atom_site_label
_atom_site_type_symbol
_atom_site_fract_x
_atom_site_fract_y
_atom_site_fract_z
_atom_site_occupancy
Sn1 Sn 0.000 0.000 0.000 1
Hg1 Hg 0.500 0.500 0.000 1
Pd1 Pd 0.000 0.000 0.500 1
N1 N 0.000 0.500 0.500 1



# PBE Sr2HgPdN, optimized geometry
# V = 23.6 Å³/atom
# final energy = -3.91 eV per atom
data_Sr2HgPdN
_chemical_formula_sum 'Sr2 Hg1 Pd1 N1'
_cell_length_a 5.396
_cell_length_b 5.396
_cell_length_c 4.055
_cell_angle_alpha 90.00
_cell_angle_beta 90.00
_cell_angle_gamma 90.00
_symmetry_space_group_name_H-M 'P 4/m m m'
_symmetry_Int_Tables_number 123
_symmetry_space_group_name_Hall '-P 4 2'
loop_
_atom_site_label
_atom_site_type_symbol
_atom_site_fract_x
_atom_site_fract_y
_atom_site_fract_z
_atom_site_occupancy
Sr1 Sr 0.000 0.500 0.000 1
Hg1 Hg 0.000 0.000 0.500 1
Pd1 Pd 0.500 0.500 0.500 1
N1 N 0.500 0.500 0.000 1



- Among the records above, which one has the lowest V?
  SnHgPdN2



- Which value of final energy does entry 2 give?
  -3.91 eV per atom